# Pu2SnAu4

Pu2SnAu4 after structural relaxation (PBE-GGA, the Alexandria database).

POSCAR file:
```
Pu2SnAu4
1.0
-4.018 -0.367 -3.277
1.113 -5.013 -0.804
-3.074 0.760 7.806
Pu Au Sn
2 4 1
direct
0.377 0.377 0.755
0.623 0.623 0.245
0.184 0.184 0.368
0.500 0.000 0.000
0.816 0.816 0.632
0.000 0.500 0.000
0.000 0.000 0.000
```

***

# PuSn3Au

PuSn3Au after structural relaxation (PBE-GGA, the Alexandria database).

POSCAR file:
```
PuSn3Au
1.0
4.910 -0.001 0.000
0.001 6.178 0.000
0.000 0.000 8.868
Sn Pu Au
6 2 2
direct
0.750 0.496 0.623
0.750 0.750 0.023
0.750 0.004 0.623
0.250 0.250 0.977
0.250 0.504 0.377
0.250 0.996 0.377
0.750 0.250 0.204
0.250 0.750 0.796
0.750 0.750 0.335
0.250 0.250 0.665
```

***

no.,calculated formation energy (eV per atom),magnetic moment (μB/f.u.),DFT total energy (eV/atom)
1,0.064,11.81,-6.48
2,-0.116,5.63,-6.04